Computed, not measured: a relaxed ThHgPd2 crystal at the GGA-PBE level of DFT.

Uncorrected energy: -5.027 eV per atom
Space group: P4/mmm (123)
Energy relative to the elements: -0.500 eV/atom
Total magnetic moment: 0.000 μB per atom

Unit cell a=3.566 b=3.566 c=6.678 alpha=90.00 beta=90.00 gamma=90.00
Element x y z (fractional)
Hg (0.500, 0.500, 0.500)
Th (0.500, 0.500, 0.000)
Pd (0.000, 0.000, 0.268)
Pd (0.000, 0.000, 0.732)

Computed, not measured: a relaxed Pm2Ho6Th crystal at the GGA-PBE level of DFT.

Uncorrected energy: -4.863 eV per atom
Energy above the lowest structure with this stoichiometry: 11 meV per atom
Space group: P-6m2 (187)
Energy relative to the elements: 0.069 eV/atom
Total magnetic moment: 0.000 μB per atom

Unit cell a=3.571 b=3.571 c=26.367 alpha=90.00 beta=90.00 gamma=120.00
Element x y z (fractional)
Ho (0.333, 0.667, 0.216)
Ho (0.667, 0.333, 0.110)
Ho (0.333, 0.667, 0.784)
Ho (0.333, 0.667, 0.563)
Ho (0.667, 0.333, 0.890)
Ho (0.333, 0.667, 0.437)
Pm (0.667, 0.333, 0.329)
Pm (0.667, 0.333, 0.671)
Th (0.333, 0.667, 0.000)

Computed, not measured: a relaxed Ca3Hg2Pd crystal at the GGA-PBE level of DFT.

Uncorrected energy: -2.549 eV per atom
Energy above the lowest structure with this stoichiometry: 0 meV per atom
Space group: P4/mmm (123)
Energy relative to the elements: -0.582 eV/atom
Total magnetic moment: 0.000 μB per atom

Unit cell a=3.690 b=3.690 c=11.182 alpha=90.00 beta=90.00 gamma=90.00
Element x y z (fractional)
Ca (0.000, 0.000, 0.651)
Ca (0.000, 0.000, 0.349)
Ca (0.000, 0.000, 0.000)
Pd (0.500, 0.500, 0.500)
Hg (0.500, 0.500, 0.176)
Hg (0.500, 0.500, 0.824)

Computed, not measured: a relaxed MnCrAgAu2 crystal at the GGA-PBE level of DFT.

Uncorrected energy: -4.526 eV per atom
Space group: P4/mmm (123)
Energy relative to the elements: 1.114 eV/atom
Total magnetic moment: 1.866 μB per atom

Unit cell a=5.099 b=4.780 c=5.099 alpha=90.00 beta=90.00 gamma=90.00
Last column: magnetic moment on the atom in μB.
Element x y z (fractional)
Au (0.500, 0.000, 0.000)  0.00
Au (0.000, 0.000, 0.500)  -0.02
Cr (0.500, 0.500, 0.500)  4.13
Mn (0.000, 0.500, 0.000)  4.22
Ag (0.000, 0.000, 0.000)  0.07

Computed, not measured: a relaxed Tb3CdS crystal at the GGA-PBE level of DFT.

Uncorrected energy: -4.564 eV per atom
Energy above the lowest structure with this stoichiometry: 135 meV per atom
Formation energy without anion corrections: -777 meV/atom
Space group: Pm-3m (221)
Total magnetic moment: 0.000 μB per atom

Unit cell a=5.207 b=5.207 c=5.207 alpha=90.00 beta=90.00 gamma=90.00
Element x y z (fractional)
Tb (0.500, 0.000, 0.000)
Tb (0.000, 0.500, 0.000)
Tb (0.000, 0.000, 0.500)
S (0.000, 0.000, 0.000)
Cd (0.500, 0.500, 0.500)

Computed, not measured: a relaxed Na2Sn2Pd crystal at the GGA-PBE level of DFT.

Uncorrected energy: -3.439 eV per atom
Space group: P4/mbm (127)
Energy relative to the elements: -0.272 eV/atom
Total magnetic moment: 0.000 μB per atom

Unit cell a=7.011 b=7.011 c=5.187 alpha=90.00 beta=90.00 gamma=90.00
Element x y z (fractional)
Na (0.671, 0.829, 0.500)
Na (0.171, 0.671, 0.500)
Na (0.329, 0.171, 0.500)
Na (0.829, 0.329, 0.500)
Sn (0.646, 0.146, 0.000)
Sn (0.354, 0.854, 0.000)
Sn (0.146, 0.354, 0.000)
Sn (0.854, 0.646, 0.000)
Pd (0.000, 0.000, 0.000)
Pd (0.500, 0.500, 0.000)